Compound: Sr2AgI2
Source: Alexandria via LeMat-Bulk
Functional: GGA-PBE
Structure: optimized geometry

Calculated values
crystal system	tetragonal
E_tot	-13.520	eV/f.u.
uncorrected formation energy	-0.84	eV/atom

a = 8.7073 Å, b = 8.7073 Å, c = 4.9986 Å
α = 90.00°, β = 90.00°, γ = 90.00°
Last column: nearest neighbours and their distance in Å.
Positions (direct):
I1 0.1500 0.6500 0.5000  6 Sr 3.38-3.72, 1 I 3.70
I2 0.3500 0.1500 0.5000  6 Sr 3.38-3.72, 1 I 3.70
I3 0.6500 0.8500 0.5000  6 Sr 3.38-3.72, 1 I 3.70
I4 0.8500 0.3500 0.5000  6 Sr 3.38-3.72, 1 I 3.70
Sr1 0.8344 0.6656 0.0000  2 Ag 3.25, 2 I 3.38
Sr2 0.1656 0.3344 0.0000  2 Ag 3.25, 2 I 3.38
Sr3 0.3344 0.8344 0.0000  2 Ag 3.25, 2 I 3.38
Sr4 0.6656 0.1656 0.0000  2 Ag 3.25, 2 I 3.38
Ag1 0.0000 0.0000 0.0000  4 Sr 3.25
Ag2 0.5000 0.5000 0.0000  4 Sr 3.25